# 1
Compound: NaTbMgTe3
Source: OQMD
Functional: GGA-PBE
Structure: relaxed

Computed properties:
raw total energy	-94.3	eV for the cell shown
energy above the most stable polymorph in this dataset	9	meV per atom

abc: 14.9216 4.4297 11.9830
angles: 90.00 90.00 90.00
Closest atoms and distances in Å follow each position.
Fractional positions:
Mg  0.9868  0.7500  0.4018  4 Te 2.75-2.87
Mg  0.4868  0.7500  0.0982  4 Te 2.75-2.87
Mg  0.0132  0.2500  0.5982  4 Te 2.75-2.87
Mg  0.5132  0.2500  0.9018  4 Te 2.75-2.87
Te  0.8529  0.7500  0.2444  1 Mg 2.75
Te  0.3897  0.2500  0.5746  3 Tb 3.05-3.10, 2 Na 3.20
Te  0.3978  0.7500  0.8858  3 Mg 2.81-2.87
Te  0.1471  0.2500  0.7556  1 Mg 2.75
Te  0.3529  0.7500  0.2556  1 Mg 2.75
Te  0.6022  0.2500  0.1142  3 Mg 2.81-2.87
Te  0.1103  0.7500  0.0746  3 Tb 3.05-3.10, 2 Na 3.20
Te  0.1022  0.2500  0.3858  3 Mg 2.81-2.87
Te  0.6103  0.7500  0.4254  3 Tb 3.05-3.10, 2 Na 3.20
Te  0.8978  0.7500  0.6142  3 Mg 2.81-2.87
Te  0.6471  0.2500  0.7444  1 Mg 2.75
Te  0.8897  0.2500  0.9254  3 Tb 3.05-3.10, 2 Na 3.20
Tb  0.4799  0.2500  0.3464  6 Te 3.05-3.33
Tb  0.9799  0.2500  0.1536  6 Te 3.05-3.33
Tb  0.5201  0.7500  0.6536  6 Te 3.05-3.33
Tb  0.0201  0.7500  0.8464  6 Te 3.05-3.33
Na  0.2649  0.2500  0.0686  4 Te 3.20-3.41
Na  0.7351  0.7500  0.9314  4 Te 3.20-3.41
Na  0.2351  0.7500  0.5686  4 Te 3.20-3.41
Na  0.7649  0.2500  0.4314  4 Te 3.20-3.41


# 2
Compound: YOsNO
Source: OQMD
Functional: GGA-PBE
Structure: relaxed

Computed properties:
raw total energy	-70.6	eV for the cell shown
energy above the most stable polymorph in this dataset	343	meV per atom

abc: 3.5143 4.8874 6.0253
angles: 90.00 90.00 90.00
Closest atoms and distances in Å follow each position.
Fractional positions:
O  0.5000  0.7455  0.9382  4 Y 2.26-2.49, 1 Os 2.30
O  0.5000  0.2455  0.0618  4 Y 2.26-2.49, 1 Os 2.30
Os  0.5000  0.0200  0.3975  2 N 1.90
Os  0.5000  0.5200  0.6025  2 N 1.90
Y  0.0000  0.5093  0.1607  4 O 2.26-2.49, 1 N 2.41
Y  0.0000  0.0093  0.8393  4 O 2.26-2.49, 1 N 2.41
N  0.0000  0.4792  0.7195  2 Os 1.90
N  0.0000  0.9792  0.2805  2 Os 1.90


# 3
Compound: TbDy2Al3Si2Pd
Source: OQMD
Functional: GGA-PBE
Structure: relaxed

Computed properties:
raw total energy	-48.3	eV for the cell shown

abc: 4.2569 6.8950 6.8950
angles: 120.01 90.00 90.00
Closest atoms and distances in Å follow each position.
Fractional positions:
Dy  0.0000  0.9998  0.4174  1 Pd 2.88, 4 Si 2.97, 2 Al 3.19
Dy  0.0000  0.4174  0.9998  1 Pd 2.88, 4 Si 2.97, 2 Al 3.19
Pd  0.0000  0.0010  0.0010  6 Al 2.68-2.69, 2 Dy 2.88, 1 Tb 2.89
Al  0.5000  0.2384  0.2384  2 Pd 2.68, 2 Si 2.69, 2 Al 2.85
Al  0.5000  0.0003  0.7614  2 Si 2.68-2.69, 2 Pd 2.69, 2 Al 2.85
Al  0.5000  0.7614  0.0003  2 Si 2.68-2.69, 2 Pd 2.69, 2 Al 2.85
Si  0.5000  0.3326  0.6669  3 Al 2.68-2.69, 4 Dy 2.97, 2 Tb 2.97
Si  0.5000  0.6669  0.3326  3 Al 2.68-2.69, 4 Dy 2.97, 2 Tb 2.97
Tb  0.0000  0.5822  0.5822  1 Pd 2.89, 4 Si 2.97, 2 Al 3.19


# 4
Compound: TbY
Source: OQMD
Functional: GGA-PBE
Structure: relaxed

Computed properties:
raw total energy	-9.5	eV for the cell shown
energy above the most stable polymorph in this dataset	767	meV per atom
energy of formation from the pure elements	1.55	eV/f.u.

abc: 4.5872 4.5872 4.5872
angles: 60.00 60.00 60.00
Closest atoms and distances in Å follow each position.
Fractional positions:
Y  0.5000  0.5000  0.5000  6 Tb 3.24
Tb  0.0000  0.0000  0.0000  6 Y 3.24


# 5
Compound: Ta4NbRe5
Source: OQMD
Functional: GGA-PBE
Structure: relaxed

Computed properties:
raw total energy	-123.5	eV for the cell shown
energy of formation from the pure elements	-3.84	eV/f.u.

abc: 3.1993 3.1993 16.0014
angles: 90.00 90.00 90.00
Closest atoms and distances in Å follow each position.
Fractional positions:
Re  0.5000  0.5000  0.6999  8 Ta 2.77
Re  0.5000  0.5000  0.1003  4 Ta 2.77, 4 Nb 2.77
Re  0.5000  0.5000  0.8997  4 Ta 2.77, 4 Nb 2.77
Re  0.5000  0.5000  0.3001  8 Ta 2.77
Re  0.5000  0.5000  0.5000  8 Ta 2.77
Nb  0.0000  0.0000  0.0000  8 Re 2.77
Ta  0.0000  0.0000  0.2000  8 Re 2.77
Ta  0.0000  0.0000  0.4000  8 Re 2.77
Ta  0.0000  0.0000  0.6000  8 Re 2.77
Ta  0.0000  0.0000  0.8000  8 Re 2.77


# 6
Compound: MgFeHgS3
Source: OQMD
Functional: GGA-PBE
Structure: relaxed

Computed properties:
raw total energy	-49.8	eV for the cell shown
energy above the most stable polymorph in this dataset	0	meV per atom

abc: 3.3488 8.0085 9.3387
angles: 90.00 90.00 77.93
Closest atoms and distances in Å follow each position.
Fractional positions:
Fe  0.0000  0.0000  0.5000  6 S 2.31-2.36
Fe  0.0000  0.0000  0.0000  6 S 2.31-2.36
Mg  0.6359  0.7281  0.7500  4 S 2.45-2.57
Mg  0.3641  0.2719  0.2500  4 S 2.45-2.57
S  0.3994  0.2012  0.9813  2 Fe 2.31, 1 Mg 2.57
S  0.3994  0.2012  0.5187  2 Fe 2.31, 1 Mg 2.57
S  0.9781  0.0438  0.2500  2 Fe 2.36, 2 Mg 2.45
S  0.6006  0.7988  0.4813  2 Fe 2.31, 1 Mg 2.57
S  0.0219  0.9562  0.7500  2 Fe 2.36, 2 Mg 2.45
S  0.6006  0.7988  0.0187  2 Fe 2.31, 1 Mg 2.57
Hg  0.7122  0.5755  0.2500  2 S 2.78, 2 Mg 2.91
Hg  0.2878  0.4245  0.7500  2 S 2.78, 2 Mg 2.91


| no. | calculated density (g cm⁻³) |
| --- | --- |
| 1 | 4.94 |
| 2 | 9.92 |
| 3 | 6.89 |
| 4 | 6.03 |
| 5 | 17.72 |
| 6 | 5.11 |